# 1
VASP calculation (PBE) on TlSb2Mo after structural relaxation.

Cell: 10.103 10.103 10.103 Å, 19.04 19.04 19.04°
Fractional coordinates of all 4 atoms:
Sb  0.014  0.014  0.014
Sb  0.253  0.253  0.253
Tl  0.489  0.489  0.489
Mo  0.744  0.744  0.744

Relative energy among the computed polymorphs (meV per atom): 338
Energy (eV per atom): -4.939
DOS(E_F) (states/eV/cell): 2.24
ΔE_f (raw) (meV/atom): 421

=====

# 2
VASP calculation (PBE) on Cu2GePb after structural relaxation.

Cell: 4.691 4.691 4.691 Å, 60.00 60.00 60.00°
Fractional coordinates of all 4 atoms:
Cu  0.250  0.250  0.250
Cu  0.750  0.750  0.750
Pb  0.500  0.500  0.500
Ge  0.000  0.000  0.000

Relative energy among the computed polymorphs (meV per atom): 74
Formation energy from the elements (eV/atom): 0.32
Energy (eV per atom): -3.810
DOS(E_F) (states/eV/cell): 1.15

=====

# 3
VASP calculation (PBE) on Li2Zr5H12 after structural relaxation.

Cell: 5.410 5.562 6.665 Å, 96.97 90.00 119.10°
Fractional coordinates of all 19 atoms:
H  0.483  0.965  0.164
H  0.588  0.670  0.403
H  0.082  0.670  0.403
H  0.494  0.359  0.088
H  0.506  0.641  0.912
H  0.412  0.330  0.597
H  0.069  0.138  0.218
H  0.918  0.330  0.597
H  0.865  0.359  0.088
H  0.135  0.641  0.912
H  0.517  0.035  0.836
H  0.931  0.862  0.782
Li  0.773  0.000  0.000
Li  0.227  0.000  0.000
Zr  0.280  0.560  0.170
Zr  0.657  0.314  0.353
Zr  0.720  0.440  0.830
Zr  0.343  0.686  0.647
Zr  0.000  0.000  0.500

Energy (eV per atom): -4.947
DOS(E_F) (states/eV/cell): 5.38

=====

# 4
VASP calculation (PBE) on MnSe2Cl after structural relaxation.

Cell: 2.973 2.973 11.196 Å, 90.00 90.00 90.00°
Site moments in Bohr magnetons follow the coordinates.
Fractional coordinates of all 4 atoms:
Se  0.000  0.000  0.904  -0.02
Se  0.500  0.500  0.249  0.00
Cl  0.000  0.000  0.605  0.15
Mn  0.500  0.500  0.742  4.01

Relative energy among the computed polymorphs (meV per atom): 431
Energy (eV per atom): -4.532
DOS(E_F) (states/eV/cell): 2.55
ΔE_f (raw) (meV/atom): -36

=====

# 5
VASP calculation (PBE) on HfBeZn after structural relaxation.

Cell: 3.784 6.282 11.097 Å, 90.00 90.00 90.00°
Fractional coordinates of all 18 atoms:
Hf  0.000  0.764  0.464
Hf  0.000  0.128  0.250
Hf  0.000  0.764  0.036
Hf  0.000  0.236  0.536
Hf  0.000  0.236  0.964
Hf  0.000  0.872  0.750
Zn  0.500  0.791  0.250
Zn  0.500  0.572  0.625
Zn  0.500  0.428  0.125
Zn  0.500  0.209  0.750
Zn  0.500  0.428  0.375
Zn  0.500  0.572  0.875
Be  0.500  0.955  0.592
Be  0.500  0.045  0.092
Be  0.500  0.955  0.908
Be  0.000  0.559  0.250
Be  0.500  0.045  0.408
Be  0.000  0.441  0.750

Relative energy among the computed polymorphs (meV per atom): 0
Formation energy from the elements (eV/atom): -0.23
Energy (eV per atom): -5.215
DOS(E_F) (states/eV/cell): 5.67

=====

Question: Among the records above, which one has the lowest energy?
Answer: HfBeZn

=====

Repeat the second record exactly.
VASP calculation (PBE) on Cu2GePb after structural relaxation.

Cell: 4.691 4.691 4.691 Å, 60.00 60.00 60.00°
Fractional coordinates of all 4 atoms:
Cu  0.250  0.250  0.250
Cu  0.750  0.750  0.750
Pb  0.500  0.500  0.500
Ge  0.000  0.000  0.000

Relative energy among the computed polymorphs (meV per atom): 74
Formation energy from the elements (eV/atom): 0.32
Energy (eV per atom): -3.810
DOS(E_F) (states/eV/cell): 1.15